# Ac5TbPm4

A relaxed structure of Ac5TbPm4 (PBE, the Alexandria database).

Cell and atoms, written as extended XYZ:
```
10
Lattice="4.4208 0.0000 0.0000 0.0000 4.4208 0.0000 0.0000 0.0000 19.9745" Properties=species:S:1:pos:R:3 pbc="T T T"
Ac 0.0000 0.0000 0.0000
Ac 0.0000 0.0000 3.9920
Ac 0.0000 0.0000 8.0215
Ac 0.0000 0.0000 11.9530
Ac 0.0000 0.0000 15.9825
Tb 2.2104 2.2104 9.9873
Pm 2.2104 2.2104 1.9958
Pm 2.2104 2.2104 5.9975
Pm 2.2104 2.2104 13.9770
Pm 2.2104 2.2104 17.9787
```

uncorrected energy	-4.320	eV per atom
formation enthalpy at 0 K	0.10	eV per atom
calculated density	7.97	g cm⁻³
volume	39.0	Å³/atom